(1)
DFT (PBE-GGA) results for a relaxed structure of YAlRe2.

Geometry as extended XYZ:
```
4
Lattice="2.832 -0.006 0.000 -0.917 2.680 0.000 0.000 0.000 8.959" Properties=species:S:1:pos:R:3 pbc="T T T"
Al 0.958 1.337 6.719
Re 0.000 0.000 8.727
Y 0.958 1.337 2.240
Re 0.000 0.000 4.712
```

Output
- Total DFT energy (no corrections): -34.13 eV/cell
- DOS at the Fermi energy: 2.303 states/eV/f.u.
- Spin magnetization: 0.000 μB/cell
- E_form: 243 meV per atom

---

(2)
DFT (PBE-GGA) results for a relaxed structure of YAlRe2.

Geometry as extended XYZ:
```
4
Lattice="5.317 0.027 0.000 2.337 4.776 0.000 -3.827 -2.402 2.803" Properties=species:S:1:pos:R:3 pbc="T T T"
Re 0.000 0.000 0.000
Re 3.827 2.402 0.000
Y 1.169 2.388 1.402
Al 2.659 0.014 1.402
```

Output
- Total DFT energy (no corrections): -33.61 eV/cell
- DOS at the Fermi energy: 4.900 states/eV/f.u.
- Spin magnetization: 0.000 μB/cell
- E_form: 374 meV per atom

---

Question: Which formula does entry 1 have?
Answer: YAlRe2